Here is a relaxed structure of AcPrCl2 from Alexandria via LeMat-Bulk. Energies are from PBE.

The structure in POSCAR format:
```
AcPrCl2
1.0
3.848 0.000 0.000
1.924 3.332 0.000
1.924 1.111 10.125
Cl Pr Ac
2 1 1
Direct
0.906 0.906 0.281 Cl
0.094 0.094 0.719 Cl
0.000 0.000 0.000 Pr
0.500 0.500 0.500 Ac
```

Values from the calculation:
symmetry	No. 166
E_form (uncorrected)	-1.3501	eV/atom



Here is a relaxed structure of SiHgBr2 from Alexandria via LeMat-Bulk. Energies are from PBE.

The structure in POSCAR format:
```
SiHgBr2
1.0
3.540 0.000 0.000
0.000 3.540 0.000
0.000 0.000 8.684
Br Si Hg
2 1 1
Direct
0.500 0.500 0.325 Br
0.000 0.000 0.921 Br
0.500 0.500 0.732 Si
0.000 0.000 0.523 Hg
```

Values from the calculation:
relative energy among the computed polymorphs	413	meV/atom
symmetry	No. 99
E_form (uncorrected)	0.1788	eV/atom



Here is a relaxed structure of Sm6P5S from Alexandria via LeMat-Bulk. Energies are from PBE.

The structure in POSCAR format:
```
Sm6P5S
1.0
-3.711 -5.986 0.838
1.008 -2.504 6.558
-4.304 2.006 5.262
S Sm P
1 6 5
Direct
0.000 0.000 0.000 S
0.252 0.580 0.336 Sm
0.747 0.748 0.000 Sm
0.253 0.252 0.000 Sm
0.748 0.420 0.664 Sm
0.252 0.916 0.664 Sm
0.748 0.084 0.336 Sm
0.000 0.333 0.334 P
0.000 0.667 0.666 P
0.500 0.500 0.000 P
0.500 0.166 0.668 P
0.500 0.834 0.332 P
```

Values from the calculation:
symmetry	No. 12
E_form (uncorrected)	-1.6962	eV/atom



Here is a relaxed structure of Y3NCl from Alexandria via LeMat-Bulk. Energies are from PBE.

The structure in POSCAR format:
```
Y3NCl
1.0
-1.901 2.717 3.541
-4.463 -1.205 -1.471
0.056 -3.834 2.972
Y Cl N
3 1 1
Direct
0.000 0.000 0.500 Y
0.000 0.500 0.000 Y
0.500 0.000 0.000 Y
0.500 0.500 0.500 Cl
0.000 0.000 0.000 N
```

Values from the calculation:
relative energy among the computed polymorphs	0	meV/atom
symmetry	No. 221
E_form (uncorrected)	-0.5895	eV/atom



Here is a relaxed structure of Zr2AlRe3 from Alexandria via LeMat-Bulk. Energies are from PBE.

The structure in POSCAR format:
```
Zr2AlRe3
1.0
4.651 -0.134 -2.440
-2.956 4.338 -0.229
-0.179 0.157 5.315
Re Zr Al
3 2 1
Direct
0.500 0.500 0.500 Re
0.500 0.000 0.500 Re
0.000 0.000 0.500 Re
0.755 0.378 0.132 Zr
0.245 0.622 0.868 Zr
0.000 0.000 0.000 Al
```

Values from the calculation:
symmetry	No. 166
energy of formation	-0.4538	eV per atom



Here is a relaxed structure of K3ZrTl from Alexandria via LeMat-Bulk. Energies are from PBE.

The structure in POSCAR format:
```
K3ZrTl
1.0
-5.226 -1.148 3.741
1.302 -6.397 -0.145
3.691 0.629 5.349
K Zr Tl
3 1 1
Direct
0.500 0.000 0.000 K
0.000 0.000 0.500 K
0.000 0.500 0.000 K
0.500 0.500 0.500 Zr
0.000 0.000 0.000 Tl
```

Values from the calculation:
relative energy among the computed polymorphs	17	meV/atom
symmetry	No. 221
energy of formation	1.1056	eV per atom



Here is a relaxed structure of TeAs from Alexandria via LeMat-Bulk. Energies are from PBE.

The structure in POSCAR format:
```
TeAs
1.0
-4.758 7.657 -8.035
-10.396 -6.135 0.310
-1.193 2.162 2.767
Te As
8 8
Direct
0.888 0.800 0.500 Te
0.300 0.612 0.000 Te
0.612 0.700 0.000 Te
0.200 0.888 0.500 Te
0.800 0.112 0.500 Te
0.112 0.200 0.500 Te
0.700 0.388 0.000 Te
0.388 0.300 0.000 Te
0.134 0.354 0.000 As
0.854 0.366 0.500 As
0.646 0.134 0.000 As
0.146 0.634 0.500 As
0.354 0.866 0.000 As
0.366 0.146 0.500 As
0.634 0.854 0.500 As
0.866 0.646 0.000 As
```

Values from the calculation:
symmetry	No. 87
E_form (uncorrected)	0.1957	eV/atom



Here is a relaxed structure of BaNdZn2Ge2 from Alexandria via LeMat-Bulk. Energies are from PBE.

The structure in POSCAR format:
```
BaNdZn2Ge2
1.0
4.343 0.000 0.000
-2.171 3.761 0.000
0.000 0.000 9.180
Nd Ba Ge Zn
1 1 2 2
Direct
0.000 0.000 0.500 Nd
0.000 0.000 0.000 Ba
0.667 0.333 0.724 Ge
0.333 0.667 0.276 Ge
0.667 0.333 0.283 Zn
0.333 0.667 0.717 Zn
```

Values from the calculation:
symmetry	No. 164
energy of formation	-0.5731	eV per atom



Here is a relaxed structure of LiTbSn6 from Alexandria via LeMat-Bulk. Energies are from PBE.

The structure in POSCAR format:
```
LiTbSn6
1.0
-3.158 -0.790 3.239
-4.004 -2.723 -4.567
2.691 -5.975 1.166
Sn Tb Li
6 1 1
Direct
0.500 0.000 0.500 Sn
0.000 0.261 0.261 Sn
0.000 0.739 0.261 Sn
0.500 0.500 0.000 Sn
0.000 0.739 0.739 Sn
0.000 0.261 0.739 Sn
0.500 0.000 0.000 Tb
0.500 0.500 0.500 Li
```

Values from the calculation:
symmetry	No. 65
energy of formation	-0.2983	eV per atom



Here is a relaxed structure of PuTiNbRh from Alexandria via LeMat-Bulk. Energies are from PBE.

The structure in POSCAR format:
```
PuTiNbRh
1.0
-0.613 3.394 3.123
1.823 -0.403 4.262
3.590 2.680 1.258
Ti Rh Nb Pu
1 1 1 1
Direct
0.250 0.250 0.250 Ti
0.000 0.000 0.000 Rh
0.500 0.500 0.500 Nb
0.750 0.750 0.750 Pu
```

Values from the calculation:
symmetry	No. 216
energy of formation	-0.2030	eV per atom



Here is a relaxed structure of MgCr from Alexandria via LeMat-Bulk. Energies are from PBE.

The structure in POSCAR format:
```
MgCr
1.0
3.024 0.000 0.000
0.000 3.024 0.000
0.000 0.000 7.082
Mg Cr
2 2
Direct
0.250 0.250 0.663 Mg
0.750 0.750 0.337 Mg
0.250 0.250 0.067 Cr
0.750 0.750 0.933 Cr
```

Values from the calculation:
relative energy among the computed polymorphs	0	meV/atom
symmetry	No. 129
energy of formation	0.2449	eV per atom



Here is a relaxed structure of SrLi2I4 from Alexandria via LeMat-Bulk. Energies are from PBE.

The structure in POSCAR format:
```
SrLi2I4
1.0
-4.940 3.021 2.995
-0.722 -5.118 3.972
4.678 2.989 4.701
I Li Sr
4 2 1
Direct
0.265 0.265 0.280 I
0.735 0.735 0.280 I
0.265 0.735 0.720 I
0.735 0.265 0.720 I
0.500 0.000 0.500 Li
0.000 0.500 0.500 Li
0.000 0.000 0.000 Sr
```

Values from the calculation:
relative energy among the computed polymorphs	66	meV/atom
symmetry	No. 111
E_form (uncorrected)	-1.3409	eV/atom



Here is a relaxed structure of KZnPb3 from Alexandria via LeMat-Bulk. Energies are from PBE.

The structure in POSCAR format:
```
KZnPb3
1.0
-3.989 3.461 -5.072
-2.882 -7.538 -5.571
-9.053 -2.825 2.497
Pb Zn K
12 4 4
Direct
0.592 0.319 0.319 Pb
0.095 0.990 0.645 Pb
0.418 0.016 0.348 Pb
0.408 0.681 0.681 Pb
0.582 0.984 0.652 Pb
0.908 0.681 0.681 Pb
0.905 0.010 0.355 Pb
0.918 0.348 0.016 Pb
0.082 0.652 0.984 Pb
0.595 0.645 0.990 Pb
0.405 0.355 0.010 Pb
0.092 0.319 0.319 Pb
0.710 0.415 0.747 Zn
0.290 0.585 0.253 Zn
0.790 0.253 0.585 Zn
0.210 0.747 0.415 Zn
0.750 0.034 0.966 K
0.250 0.966 0.034 K
0.750 0.648 0.352 K
0.250 0.352 0.648 K
```

Values from the calculation:
relative energy among the computed polymorphs	37	meV/atom
symmetry	No. 15
energy of formation	-0.0163	eV per atom



Here is a relaxed structure of Tb7Al2Pt2 from Alexandria via LeMat-Bulk. Energies are from PBE.

The structure in POSCAR format:
```
Tb7Al2Pt2
1.0
-0.581 6.144 -2.859
-5.009 1.684 4.638
4.695 0.484 4.897
Tb Pt Al
7 2 2
Direct
0.500 0.261 0.000 Tb
0.500 0.256 0.500 Tb
0.000 0.739 0.500 Tb
0.000 0.000 0.000 Tb
0.500 0.739 0.000 Tb
0.500 0.744 0.500 Tb
0.000 0.261 0.500 Tb
0.710 0.000 0.290 Pt
0.290 0.000 0.710 Pt
0.165 0.500 0.165 Al
0.835 0.500 0.835 Al
```

Values from the calculation:
symmetry	No. 65
energy of formation	-0.4859	eV per atom



Here is a relaxed structure of SrZrBe2 from Alexandria via LeMat-Bulk. Energies are from PBE.

The structure in POSCAR format:
```
SrZrBe2
1.0
-1.764 -0.604 3.915
0.167 -3.906 1.877
4.397 -0.121 4.363
Zr Sr Be
1 1 2
Direct
0.250 0.250 0.250 Zr
0.750 0.750 0.750 Sr
0.937 0.937 0.191 Be
0.563 0.563 0.309 Be
```

Values from the calculation:
relative energy among the computed polymorphs	128	meV/atom
symmetry	No. 166
energy of formation	0.3659	eV per atom



Here is a relaxed structure of ZrCl3 from Alexandria via LeMat-Bulk. Energies are from PBE.

The structure in POSCAR format:
```
ZrCl3
1.0
-2.808 -5.297 -1.384
1.430 -5.187 3.301
-5.008 1.492 4.493
Zr Cl
2 6
Direct
0.319 0.361 0.000 Zr
0.681 0.639 0.000 Zr
0.661 0.341 0.768 Cl
0.002 0.659 0.768 Cl
0.339 0.659 0.232 Cl
0.338 0.000 0.804 Cl
0.662 0.000 0.196 Cl
0.998 0.341 0.232 Cl
```

Values from the calculation:
symmetry	No. 2
E_form (uncorrected)	-1.6898	eV/atom



Here is a relaxed structure of MgCoAs2 from Alexandria via LeMat-Bulk. Energies are from PBE.

The structure in POSCAR format:
```
MgCoAs2
1.0
-2.456 3.928 2.387
-5.209 0.092 -0.115
3.757 -3.431 1.126
Co Mg As
1 1 2
Direct
0.500 0.500 0.000 Co
0.750 0.250 0.500 Mg
0.250 0.750 0.500 As
0.000 0.000 0.000 As
```

Values from the calculation:
symmetry	No. 119
energy of formation	0.0781	eV per atom



Here is a relaxed structure of Pm4GaC from Alexandria via LeMat-Bulk. Energies are from PBE.

The structure in POSCAR format:
```
Pm4GaC
1.0
-2.664 -1.310 4.195
4.840 -4.506 1.667
5.699 7.118 2.693
Pm C Ga
8 2 2
Direct
0.325 0.555 0.650 Pm
0.465 0.927 0.930 Pm
0.698 0.561 0.396 Pm
0.302 0.061 0.604 Pm
0.916 0.299 0.831 Pm
0.084 0.799 0.169 Pm
0.675 0.055 0.350 Pm
0.535 0.427 0.070 Pm
0.589 0.778 0.179 C
0.411 0.278 0.821 C
0.134 0.313 0.267 Ga
0.866 0.813 0.733 Ga
```

Values from the calculation:
symmetry	No. 36
energy of formation	-0.1868	eV per atom



Here is a relaxed structure of LaBe2Mo from Alexandria via LeMat-Bulk. Energies are from PBE.

The structure in POSCAR format:
```
LaBe2Mo
1.0
6.293 0.004 0.010
-2.439 4.070 -0.019
1.415 0.861 2.491
Be La Mo
2 1 1
Direct
0.000 0.000 0.000 Be
0.500 0.000 0.500 Be
0.000 0.500 0.500 La
0.500 0.500 0.000 Mo
```

Values from the calculation:
relative energy among the computed polymorphs	364	meV/atom
symmetry	No. 65
energy of formation	0.5366	eV per atom



Here is a relaxed structure of Hf12Ga6Co from Alexandria via LeMat-Bulk. Energies are from PBE.

The structure in POSCAR format:
```
Hf12Ga6Co
1.0
-0.166 7.420 -1.222
-7.169 -0.979 2.054
3.149 0.039 6.831
Ga Hf Co
6 12 1
Direct
0.663 0.309 0.123 Ga
0.123 0.663 0.309 Ga
0.309 0.123 0.663 Ga
0.691 0.877 0.337 Ga
0.337 0.691 0.877 Ga
0.877 0.337 0.691 Ga
0.457 0.803 0.576 Hf
0.675 0.931 0.984 Hf
0.424 0.543 0.197 Hf
0.931 0.984 0.675 Hf
0.016 0.325 0.069 Hf
0.984 0.675 0.931 Hf
0.325 0.069 0.016 Hf
0.197 0.424 0.543 Hf
0.803 0.576 0.457 Hf
0.576 0.457 0.803 Hf
0.543 0.197 0.424 Hf
0.069 0.016 0.325 Hf
0.000 0.000 0.000 Co
```

Values from the calculation:
symmetry	No. 148
energy of formation	0.0109	eV per atom



Here is a relaxed structure of Pm2SmGe2 from Alexandria via LeMat-Bulk. Energies are from PBE.

The structure in POSCAR format:
```
Pm2SmGe2
1.0
4.334 0.000 0.000
0.000 7.807 0.000
0.000 0.000 7.807
Pm Ge Sm
4 4 2
Direct
0.500 0.174 0.674 Pm
0.500 0.326 0.174 Pm
0.500 0.674 0.826 Pm
0.500 0.826 0.326 Pm
0.000 0.379 0.879 Ge
0.000 0.879 0.621 Ge
0.000 0.121 0.379 Ge
0.000 0.621 0.121 Ge
0.000 0.500 0.500 Sm
0.000 0.000 0.000 Sm
```

Values from the calculation:
relative energy among the computed polymorphs	0	meV/atom
symmetry	No. 127
energy of formation	-0.7543	eV per atom



Here is a relaxed structure of CdCuI2O8 from Alexandria via LeMat-Bulk. Energies are from PBE.

The structure in POSCAR format:
```
CdCuI2O8
1.0
6.112 0.236 0.000
-2.499 5.583 0.000
-1.806 -2.909 5.068
Cd O I Cu
1 8 2 1
Direct
0.250 0.750 0.500 Cd
0.872 0.681 0.191 O
0.927 0.628 0.702 O
0.372 0.073 0.298 O
0.927 0.225 0.298 O
0.490 0.681 0.809 O
0.775 0.073 0.702 O
0.319 0.128 0.809 O
0.319 0.510 0.191 O
0.500 0.500 0.000 I
0.750 0.250 0.500 I
0.000 0.000 0.000 Cu
```

Values from the calculation:
symmetry	No. 119
E_form (uncorrected)	-0.1723	eV/atom



Here is a relaxed structure of AcNd2Sn3 from Alexandria via LeMat-Bulk. Energies are from PBE.

The structure in POSCAR format:
```
AcNd2Sn3
1.0
-2.839 1.392 4.342
0.986 -5.950 2.553
5.780 4.182 -0.884
Sn Nd Ac
3 2 1
Direct
0.307 0.307 0.615 Sn
0.693 0.693 0.385 Sn
0.000 0.000 0.000 Sn
0.339 0.839 0.678 Nd
0.661 0.161 0.322 Nd
0.000 0.500 0.000 Ac
```

Values from the calculation:
symmetry	No. 71
energy of formation	-0.5724	eV per atom



Here is a relaxed structure of RbCaMoN2 from Alexandria via LeMat-Bulk. Energies are from PBE.

The structure in POSCAR format:
```
RbCaMoN2
1.0
-1.039 3.365 -3.638
-5.053 -1.341 0.204
-0.801 3.554 3.516
Ca Mo N Rb
1 1 2 1
Direct
0.500 0.500 0.500 Ca
0.000 0.500 0.000 Mo
0.000 0.000 0.500 N
0.500 0.000 0.000 N
0.000 0.000 0.000 Rb
```

Values from the calculation:
symmetry	No. 123
E_form (uncorrected)	2.7632	eV/atom



| no. | calculated total energy (eV per atom) |
| --- | --- |
| 1 | -4.495 |
| 2 | -2.089 |
| 3 | -6.654 |
| 4 | -6.502 |
| 5 | -10.151 |
| 6 | -1.736 |
| 7 | -3.700 |
| 8 | -3.652 |
| 9 | -4.118 |
| 10 | -10.115 |
| 11 | -5.364 |
| 12 | -3.014 |
| 13 | -2.716 |
| 14 | -5.211 |
| 15 | -4.055 |
| 16 | -5.212 |
| 17 | -4.422 |
| 18 | -5.396 |
| 19 | -5.266 |
| 20 | -7.605 |
| 21 | -5.445 |
| 22 | -4.154 |
| 23 | -4.848 |
| 24 | -3.327 |